First-principles (PBEsol) data for MnHgPb3 after structural relaxation, as listed in Alexandria via LeMat-Bulk.

POSCAR file:
```
MnHgPb3
1.0
-2.990 0.147 -4.705
-4.684 -0.651 2.956
-0.471 5.537 0.473
Pb Mn Hg
3 1 1
Direct
0.000 0.500 0.000
0.000 0.000 0.500
0.500 0.000 0.000
0.500 0.500 0.500
0.000 0.000 0.000
```

First-principles (PBEsol) data for MnHgPb after structural relaxation, as listed in Alexandria via LeMat-Bulk.

POSCAR file:
```
MnHgPb
1.0
4.710 0.000 0.000
2.355 4.079 0.000
2.355 1.360 3.846
Hg Mn Pb
1 1 1
Direct
0.250 0.250 0.250
0.000 0.000 0.000
0.500 0.500 0.500
```

First-principles (PBEsol) data for Mn2TlHgPb after structural relaxation, as listed in Alexandria via LeMat-Bulk.

POSCAR file:
```
Mn2TlHgPb
1.0
5.019 0.000 0.000
0.000 5.019 0.000
0.000 0.000 5.451
Pb Tl Mn Hg
1 1 2 1
Direct
0.500 0.500 0.500
0.000 0.000 0.500
0.000 0.500 0.000
0.500 0.000 0.000
0.000 0.000 0.000
```

First-principles (PBEsol) data for MnHg3Pd after structural relaxation, as listed in Alexandria via LeMat-Bulk.

POSCAR file:
```
MnHg3Pd
1.0
-0.046 3.227 -3.948
-4.896 -1.132 -0.868
-1.426 3.783 3.108
Mn Hg Pd
1 3 1
Direct
0.500 0.500 0.500
0.000 0.500 0.000
0.000 0.000 0.500
0.500 0.000 0.000
0.000 0.000 0.000
```

First-principles (PBEsol) data for MnHgPt2 after structural relaxation, as listed in Alexandria via LeMat-Bulk.

POSCAR file:
```
MnHgPt2
1.0
2.939 0.000 0.000
-1.470 4.534 0.017
0.000 -1.110 4.736
Hg Mn Pt
1 1 2
Direct
0.000 0.000 0.500
0.500 0.000 0.000
0.760 0.519 0.764
0.240 0.481 0.236
```

First-principles (PBEsol) data for MnHg3Pt after structural relaxation, as listed in Alexandria via LeMat-Bulk.

POSCAR file:
```
MnHg3Pt
1.0
-1.470 -4.819 -1.035
4.518 -0.886 -2.293
1.970 -1.564 4.486
Mn Hg Pt
1 3 1
Direct
0.500 0.500 0.500
0.000 0.500 0.000
0.000 0.000 0.500
0.500 0.000 0.000
0.000 0.000 0.000
```

no.,DFT formation energy (kJ/mol of atoms)
1,94.0
2,52.5
3,94.3
4,61.3
5,-2.4
6,63.6